Entry 1:
Below is a geometry-optimized Mo2Os2Ru structure, with properties calculated at the PBE level.

Cell lengths 7.344, 7.344, 2.906 Å; angles 90.00, 90.00, 90.00 degrees
Atoms (fractional coordinates):
1 Mo 0.167 0.333 0.000
2 Mo 0.333 0.833 0.000
3 Mo 0.667 0.167 0.000
4 Mo 0.833 0.667 0.000
5 Os 0.132 0.632 0.500
6 Os 0.368 0.132 0.500
7 Os 0.632 0.868 0.500
8 Os 0.868 0.368 0.500
9 Ru 0.000 0.000 0.500
10 Ru 0.500 0.500 0.500

Computed properties:
- Space-group type: No. 127
- E above lowest polymorph: 0.1384 eV per atom
- Energy of formation from the pure elements: 291 meV/atom


Entry 2:
Below is a geometry-optimized RbAcScSe3 structure, with properties calculated at the PBE level.

Cell lengths 9.699, 4.608, 10.451 Å; angles 90.00, 103.48, 90.00 degrees
Atoms (fractional coordinates):
1 Rb 0.183 0.250 0.204
2 Rb 0.817 0.750 0.796
3 Ac 0.344 0.750 0.848
4 Ac 0.656 0.250 0.152
5 Sc 0.085 0.250 0.597
6 Sc 0.915 0.750 0.403
7 Se 0.120 0.250 0.851
8 Se 0.187 0.750 0.537
9 Se 0.441 0.750 0.150
10 Se 0.559 0.250 0.850
11 Se 0.813 0.250 0.463
12 Se 0.880 0.750 0.149

Computed properties:
- Space-group type: No. 11
- Formation energy (no corrections): -155.0 kJ per mole of atoms


Entry 3:
Below is a geometry-optimized BaNpIr2O8 structure, with properties calculated at the PBE level.

Cell lengths 5.820, 5.820, 7.562 Å; angles 90.00, 90.00, 120.00 degrees
Atoms (fractional coordinates):
1 Ba 0.000 0.000 0.000
2 Np 0.000 0.000 0.500
3 Ir 0.333 0.667 0.784
4 Ir 0.667 0.333 0.216
5 O 0.128 0.321 0.682
6 O 0.192 0.872 0.682
7 O 0.321 0.192 0.318
8 O 0.333 0.667 0.023
9 O 0.667 0.333 0.977
10 O 0.679 0.808 0.682
11 O 0.808 0.128 0.318
12 O 0.872 0.679 0.318

Computed properties:
- Space-group type: No. 147
- Formation energy (no corrections): -132.7 kJ per mole of atoms